Sc2Al2GaRu5: optimized geometry, PBE-GGA.

Properties
Total DFT energy (no corrections) (eV per atom): -7.3619

a = 3.2807 Å, b = 9.7745 Å, c = 9.7745 Å
α = 90.00°, β = 90.00°, γ = 90.00°
Each line ends with the local moment (μB).
Element x y z (fractional)
Ru 0.5000 0.4379 0.3056  0.25
Ru 0.5000 0.3056 0.5621  0.25
Ru 0.5000 0.1944 0.0621  0.25
Ru 0.5000 0.0621 0.8056  0.25
Ru 0.5000 0.5621 0.6944  0.25
Ru 0.5000 0.8056 0.9379  0.25
Ru 0.5000 0.5000 0.0000  0.02
Ru 0.5000 0.0000 0.5000  0.02
Ru 0.5000 0.9379 0.1944  0.25
Ru 0.5000 0.6944 0.4379  0.25
Al 0.0000 0.6313 0.8687  0.00
Al 0.0000 0.3687 0.1313  0.00
Al 0.0000 0.1313 0.6313  0.00
Al 0.0000 0.8687 0.3687  0.00
Sc 0.0000 0.6679 0.1679  0.00
Sc 0.0000 0.1679 0.3321  0.00
Sc 0.0000 0.8321 0.6679  0.00
Sc 0.0000 0.3321 0.8321  0.00
Ga 0.0000 0.5000 0.5000  0.00
Ga 0.0000 0.0000 0.0000  0.00